Dy7TmSc3 | PBE | optimized geometry

Summary:
Size of the total moment (Bohr magnetons per cell): 0.00
Formation energy from the elements (meV/atom): 139
Volume (Å³ per cell): 330.8
E above lowest polymorph (meV/atom): 0.0

a b c (Å): 6.699 5.390 9.559
angles (deg): 90.00 106.60 90.00
Space group P2/m (No. 10)
One atom of each set of equivalent atoms:
Dy1 0.000 0.000 0.000
Dy2 0.152 0.500 0.284
Dy3 0.321 0.500 0.634
Dy4 0.440 0.000 0.830
Tm1 0.000 0.000 0.500
Sc1 0.276 0.500 0.987
Sc2 0.500 0.000 0.500